Crystalline CaTeRh2 at its relaxed geometry, computed with PBE.

Calculated values
- E_form (uncorrected) (eV per formula unit) = -1.1
- total magnetization (μB per cell) = 0.0
- offset from the most stable computed form (kcal/mol of atoms) = 4.60

a b c (Å): 3.4563 3.4563 6.4702
angles (deg): 90.00 90.00 90.00
Closest atoms and distances in Å follow each position.
Space group P4/mmm (No. 123)
Inequivalent atoms, fractional coordinates:
1 Ca 0.0000 0.0000 0.0000  8 Rh 3.03, 2 Te 3.24
2 Te 0.0000 0.0000 0.5000  8 Rh 2.84
3 Rh 0.5000 0.5000 0.2765  4 Te 2.84, 1 Rh 2.89, 4 Ca 3.03

---

Crystalline Ca2TeRh2 at its relaxed geometry, computed with PBE.

Calculated values
- E_form (uncorrected) (eV per formula unit) = -0.4
- total magnetization (μB per cell) = 0.0
- offset from the most stable computed form (kcal/mol of atoms) = 11.19

a b c (Å): 8.1819 8.1819 3.2898
angles (deg): 90.00 90.00 90.00
Closest atoms and distances in Å follow each position.
Space group P4/mbm (No. 127)
Inequivalent atoms, fractional coordinates:
1 Ca 0.1399 0.3601 0.0000  6 Rh 2.83-2.96, 2 Te 3.16
2 Te 0.0000 0.0000 0.0000  4 Ca 3.16, 2 Te 3.29, 8 Rh 3.48
3 Rh 0.1608 0.6608 0.5000  6 Ca 2.83-2.96

---

Crystalline CaTeRh2 at its relaxed geometry, computed with PBE.

Calculated values
- E_form (uncorrected) (eV per formula unit) = -1.2
- total magnetization (μB per cell) = 0.0
- offset from the most stable computed form (kcal/mol of atoms) = 4.37

a b c (Å): 3.7287 3.7287 5.6273
angles (deg): 90.00 90.00 90.00
Closest atoms and distances in Å follow each position.
Space group P4mm (No. 99)
Inequivalent atoms, fractional coordinates:
1 Ca 0.0000 0.0000 0.0000  6 Rh 2.80-2.87
2 Te 0.5000 0.5000 0.6543  5 Rh 2.56-2.78
3 Rh 0.0000 0.0000 0.4971  4 Te 2.78, 2 Ca 2.80-2.83
4 Rh 0.5000 0.5000 0.1993  1 Te 2.56, 4 Ca 2.87

---

Crystalline CaTe3Rh at its relaxed geometry, computed with PBE.

Calculated values
- E_form (uncorrected) (eV per formula unit) = -1.7
- total magnetization (μB per cell) = 0.0
- offset from the most stable computed form (kcal/mol of atoms) = 0.00

a b c (Å): 5.2935 5.2935 5.2935
angles (deg): 90.00 90.00 90.00
Closest atoms and distances in Å follow each position.
Space group Pm-3m (No. 221)
Inequivalent atoms, fractional coordinates:
1 Ca 0.0000 0.0000 0.0000  12 Te 3.74
2 Te 0.0000 0.5000 0.5000  2 Rh 2.65
3 Rh 0.5000 0.5000 0.5000  6 Te 2.65

---

Crystalline CaTeRh2 at its relaxed geometry, computed with PBE.

Calculated values
- E_form (uncorrected) (eV per formula unit) = -1.4
- total magnetization (μB per cell) = 0.0
- offset from the most stable computed form (kcal/mol of atoms) = 3.35

a b c (Å): 4.0258 4.0258 9.1834
angles (deg): 90.00 90.00 90.00
Closest atoms and distances in Å follow each position.
Space group I-4m2 (No. 119)
Inequivalent atoms, fractional coordinates:
1 Ca 0.0000 0.0000 0.0000  8 Rh 2.85-3.05, 4 Te 3.05
2 Te 0.0000 0.5000 0.2500  8 Rh 2.85-3.05, 4 Ca 3.05
3 Rh 0.0000 0.0000 0.5000  4 Ca 2.85, 4 Rh 3.05, 4 Te 3.05
4 Rh 0.0000 0.5000 0.7500  4 Te 2.85, 4 Ca 3.05, 4 Rh 3.05

---

Crystalline CaTe3Rh at its relaxed geometry, computed with PBE.

Calculated values
- E_form (uncorrected) (eV per formula unit) = 3.8
- total magnetization (μB per cell) = 1.6
- offset from the most stable computed form (kcal/mol of atoms) = 25.19

a b c (Å): 5.7098 5.7098 5.7098
angles (deg): 90.00 90.00 90.00
Closest atoms and distances in Å follow each position.
Space group Pm-3m (No. 221)
Inequivalent atoms, fractional coordinates:
1 Ca 0.0000 0.0000 0.0000  6 Te 2.85
2 Te 0.0000 0.0000 0.5000  2 Ca 2.85
3 Rh 0.5000 0.5000 0.5000  12 Te 4.04